# 1
The following is a DFT calculation (GGA-PBE) of a relaxed Er5RuPb2 crystal.

SG: No. 63
DOS(E_F) (states/eV per cell): 11.19
Total energy (eV per atom): -4.983
E above lowest polymorph (meV per atom): 446

a b c (Å): 8.6564 8.6564 12.4733
angles (deg): 90.00 90.00 143.39
Fractional positions:
1 Er 0.0762 0.9238 0.6082
2 Er 0.0762 0.9238 0.8918
3 Er 0.2927 0.7073 0.2500
4 Er 0.2947 0.7053 0.5712
5 Er 0.2947 0.7053 0.9288
6 Er 0.7053 0.2947 0.0712
7 Er 0.7053 0.2947 0.4288
8 Er 0.7073 0.2927 0.7500
9 Er 0.9238 0.0762 0.1082
10 Er 0.9238 0.0762 0.3918
11 Ru 0.1920 0.8080 0.7500
12 Ru 0.8080 0.1920 0.2500
13 Pb 0.1182 0.8818 0.1251
14 Pb 0.1182 0.8818 0.3749
15 Pb 0.8818 0.1182 0.6251
16 Pb 0.8818 0.1182 0.8749

=====

# 2
The following is a DFT calculation (GGA-PBE) of a relaxed La2GdRh crystal.

SG: No. 123
DOS(E_F) (states/eV per cell): 5.56
Total energy (eV per atom): -8.127
E above lowest polymorph (meV per atom): 0

a b c (Å): 3.6963 3.6963 8.5989
angles (deg): 90.00 90.00 90.00
Fractional positions:
1 La 0.0000 0.0000 0.1934
2 La 0.0000 0.0000 0.8066
3 Gd 0.5000 0.5000 0.5000
4 Rh 0.5000 0.5000 0.0000

=====

# 3
The following is a DFT calculation (GGA-PBE) of a relaxed Sm3Y2Sc4 crystal.

SG: No. 15
DOS(E_F) (states/eV per cell): 29.07
Total energy (eV per atom): -5.708

a b c (Å): 9.8145 9.8145 5.8126
angles (deg): 96.07 96.07 70.76
Fractional positions:
1 Sm 0.1526 0.8474 0.7500
2 Sm 0.2218 0.4515 0.8987
3 Sm 0.4515 0.2218 0.3987
4 Sm 0.5485 0.7782 0.6013
5 Sm 0.7782 0.5485 0.1013
6 Sm 0.8474 0.1526 0.2500
7 Y 0.0030 0.2316 0.7908
8 Y 0.2316 0.0030 0.2908
9 Y 0.7684 0.9970 0.7092
10 Y 0.9970 0.7684 0.2092
11 Sc 0.0920 0.3700 0.3466
12 Sc 0.3292 0.5643 0.4550
13 Sc 0.3700 0.0920 0.8466
14 Sc 0.4357 0.6708 0.0450
15 Sc 0.5643 0.3292 0.9550
16 Sc 0.6300 0.9080 0.1534
17 Sc 0.6708 0.4357 0.5450
18 Sc 0.9080 0.6300 0.6534

=====

# 4
The following is a DFT calculation (GGA-PBE) of a relaxed Ca2SbHPd crystal.

SG: No. 123
DOS(E_F) (states/eV per cell): 1.07
Total energy (eV per atom): -4.080

a b c (Å): 5.2025 5.2025 3.7839
angles (deg): 90.00 90.00 90.00
Fractional positions:
1 Ca 0.0000 0.5000 0.0000
2 Ca 0.5000 0.0000 0.0000
3 Sb 0.0000 0.0000 0.5000
4 H 0.5000 0.5000 0.0000
5 Pd 0.5000 0.5000 0.5000

=====

# 5
The following is a DFT calculation (GGA-PBE) of a relaxed Pr2ScTl3 crystal.

SG: No. 123
DOS(E_F) (states/eV per cell): 4.29
Total energy (eV per atom): -4.186
E above lowest polymorph (meV per atom): 0

a b c (Å): 3.7648 3.7648 11.8418
angles (deg): 90.00 90.00 90.00
Fractional positions:
1 Pr 0.0000 0.0000 0.1782
2 Pr 0.0000 0.0000 0.8218
3 Sc 0.0000 0.0000 0.5000
4 Tl 0.5000 0.5000 0.0000
5 Tl 0.5000 0.5000 0.3577
6 Tl 0.5000 0.5000 0.6423

=====

# 6
The following is a DFT calculation (GGA-PBE) of a relaxed Tb3ScIn crystal.

SG: No. 12
DOS(E_F) (states/eV per cell): 11.40
Total energy (eV per atom): -4.762
E above lowest polymorph (meV per atom): 12

a b c (Å): 8.5210 8.5210 6.6160
angles (deg): 97.65 97.65 36.85
Fractional positions:
1 Tb 0.0160 0.0160 0.2631
2 Tb 0.1984 0.1984 0.7024
3 Tb 0.3945 0.3945 0.0336
4 Tb 0.6055 0.6055 0.9664
5 Tb 0.8016 0.8016 0.2976
6 Tb 0.9840 0.9840 0.7369
7 Sc 0.3995 0.3995 0.5219
8 Sc 0.6005 0.6005 0.4781
9 In 0.2055 0.2055 0.2117
10 In 0.7945 0.7945 0.7883

=====

# 7
The following is a DFT calculation (GGA-PBE) of a relaxed La6PbO12 crystal.

SG: No. 148
Uncorrected formation energy (meV/atom): -2836.5
DOS(E_F) (states/eV per cell): 17.14
Total energy (eV per atom): -7.719

a b c (Å): 6.9446 6.9446 6.9446
angles (deg): 99.07 99.07 99.07
Fractional positions:
1 La 0.1050 0.6389 0.7973
2 La 0.2027 0.8950 0.3611
3 La 0.3611 0.2027 0.8950
4 La 0.6389 0.7973 0.1050
5 La 0.7973 0.1050 0.6389
6 La 0.8950 0.3611 0.2027
7 Pb 0.5000 0.5000 0.5000
8 O 0.0603 0.3228 0.9095
9 O 0.0904 0.9397 0.6772
10 O 0.1904 0.5539 0.4357
11 O 0.3228 0.9095 0.0603
12 O 0.4357 0.1904 0.5539
13 O 0.4461 0.5643 0.8096
14 O 0.5539 0.4357 0.1904
15 O 0.5643 0.8096 0.4461
16 O 0.6772 0.0904 0.9397
17 O 0.8096 0.4461 0.5643
18 O 0.9095 0.0603 0.3228
19 O 0.9397 0.6772 0.0904

=====

# 8
The following is a DFT calculation (GGA-PBE) of a relaxed CaNd5Sn4 crystal.

SG: No. 59
DOS(E_F) (states/eV per cell): 11.55
Total energy (eV per atom): -4.490

a b c (Å): 10.1786 10.3648 7.6788
angles (deg): 90.00 90.00 90.00
Fractional positions:
1 Ca 0.2500 0.2500 0.2246
2 Ca 0.7500 0.7500 0.7754
3 Nd 0.0067 0.5425 0.2497
4 Nd 0.0067 0.9575 0.2497
5 Nd 0.2500 0.7500 0.7885
6 Nd 0.4933 0.5425 0.2497
7 Nd 0.4933 0.9575 0.2497
8 Nd 0.5067 0.0425 0.7503
9 Nd 0.5067 0.4575 0.7503
10 Nd 0.7500 0.2500 0.2115
11 Nd 0.9933 0.0425 0.7503
12 Nd 0.9933 0.4575 0.7503
13 Sn 0.0030 0.7500 0.5478
14 Sn 0.2500 0.0053 0.9942
15 Sn 0.2500 0.4947 0.9942
16 Sn 0.4970 0.7500 0.5478
17 Sn 0.5030 0.2500 0.4522
18 Sn 0.7500 0.5053 0.0058
19 Sn 0.7500 0.9947 0.0058
20 Sn 0.9970 0.2500 0.4522